Run 1
PBE FeAs2SBr, relaxed; Fermi-level density of states = 1.439 states/eV per atom
1.0
4.8013 0.0000 0.0000
0.0000 4.8013 0.0000
0.0000 0.0000 5.1262
Fe As S Br
1 2 1 1
Direct
0.0000 0.0000 0.0000
0.0000 0.5000 0.5000
0.5000 0.0000 0.5000
0.5000 0.5000 0.5000
0.5000 0.5000 0.0000

***

Run 2
PBE FeAs2SBr, relaxed; Fermi-level density of states = 0.889 states/eV per atom
1.0
4.6662 0.0000 0.0000
0.0000 4.6662 0.0000
0.0000 0.0000 4.6741
Fe As S Br
1 2 1 1
Direct
0.0000 0.0000 0.0000
0.0000 0.5000 0.0000
0.5000 0.0000 0.0000
0.5000 0.5000 0.5000
0.0000 0.0000 0.5000

***

Quick look at relative energies in meV per atom: run 1 513; run 2 0.